1.
A plane-wave DFT calculation with GGA-PBE was carried out for a geometry-optimized ZrCoAg structure.

```
ZrCoAg
1.0
-3.187 0.048 -0.826
1.958 -2.394 -1.131
-1.266 -3.254 4.696
Ag Co Zr
1 1 1
direct
0.000 0.000 0.028 Ag
0.667 0.333 0.353 Co
0.333 0.667 0.619 Zr
```

density of states at the Fermi level = 1.60 states/eV per cell
magnetic moment = 0.000 μB per atom
SG = P3m1

***

2.
A plane-wave DFT calculation with GGA-PBE was carried out for a geometry-optimized Zr2CoAg structure.

```
Zr2CoAg
1.0
-1.849 0.116 2.719
2.699 -0.343 1.850
0.726 6.805 0.203
Zr Ag Co
2 1 1
direct
0.500 0.500 0.255 Zr
0.000 0.000 0.954 Zr
0.000 0.000 0.528 Ag
0.500 0.500 0.763 Co
```

density of states at the Fermi level = 3.42 states/eV per cell
magnetic moment = 0.188 μB per atom
SG = P4mm

***

3.
A plane-wave DFT calculation with GGA-PBE was carried out for a geometry-optimized Zr2CoAg structure.

```
Zr2CoAg
1.0
-7.361 -1.967 2.816
-5.314 -3.754 4.864
-5.938 -0.474 5.522
Zr Co Ag
2 1 1
direct
0.015 0.015 0.015 Zr
0.485 0.485 0.485 Zr
0.750 0.750 0.750 Co
0.250 0.250 0.250 Ag
```

density of states at the Fermi level = 3.37 states/eV per cell
magnetic moment = 0.000 μB per atom
SG = R-3m

***

4.
A plane-wave DFT calculation with GGA-PBE was carried out for a geometry-optimized ZrCoAg structure.

```
ZrCoAg
1.0
-1.110 2.942 -0.316
-3.957 -3.195 -0.042
1.955 1.484 6.940
Co Ag Zr
2 2 2
direct
0.884 0.768 0.882 Co
0.116 0.232 0.118 Co
0.383 0.766 0.579 Ag
0.617 0.234 0.421 Ag
0.836 0.673 0.203 Zr
0.164 0.327 0.797 Zr
```

density of states at the Fermi level = 4.39 states/eV per cell
magnetic moment = 0.000 μB per atom
SG = C2/m

***

5.
A plane-wave DFT calculation with GGA-PBE was carried out for a geometry-optimized Zr5CoAg structure.

```
Zr5CoAg
1.0
5.323 -0.612 0.031
1.109 5.242 0.031
2.206 1.588 10.171
Zr Co Ag
10 2 2
direct
0.989 0.011 0.250 Zr
0.081 0.435 0.873 Zr
0.011 0.989 0.750 Zr
0.435 0.081 0.373 Zr
0.919 0.565 0.127 Zr
0.565 0.919 0.627 Zr
0.480 0.782 0.942 Zr
0.782 0.480 0.442 Zr
0.520 0.218 0.058 Zr
0.218 0.520 0.558 Zr
0.000 0.000 0.500 Co
0.000 0.000 0.000 Co
0.388 0.612 0.250 Ag
0.612 0.388 0.750 Ag
```

density of states at the Fermi level = 16.32 states/eV per cell
magnetic moment = 0.000 μB per atom
SG = C2/c

***

6.
A plane-wave DFT calculation with GGA-PBE was carried out for a geometry-optimized Zr6Co2Ag structure.

```
Zr6Co2Ag
1.0
-5.348 2.611 5.020
2.675 -7.178 1.394
6.557 4.186 0.323
Zr Co Ag
12 4 2
direct
0.305 0.980 0.675 Zr
0.489 0.300 0.189 Zr
0.695 0.020 0.325 Zr
0.799 0.767 0.566 Zr
0.695 0.370 0.675 Zr
0.201 0.767 0.969 Zr
0.889 0.700 0.189 Zr
0.305 0.630 0.325 Zr
0.111 0.300 0.811 Zr
0.201 0.233 0.434 Zr
0.511 0.700 0.811 Zr
0.799 0.233 0.031 Zr
0.345 0.000 0.345 Co
0.500 0.374 0.874 Co
0.655 0.000 0.655 Co
0.500 0.626 0.126 Co
0.000 0.000 0.000 Ag
0.000 0.500 0.500 Ag
```

density of states at the Fermi level = 19.19 states/eV per cell
magnetic moment = 0.000 μB per atom
SG = Immm

***

7.
A plane-wave DFT calculation with GGA-PBE was carried out for a geometry-optimized Zr2CoAg structure.

```
Zr2CoAg
1.0
4.623 0.000 0.000
2.311 4.003 0.000
2.311 1.334 3.774
Ag Co Zr
1 1 2
direct
0.500 0.500 0.500 Ag
0.750 0.750 0.750 Co
0.250 0.250 0.250 Zr
0.000 0.000 0.000 Zr
```

density of states at the Fermi level = 1.29 states/eV per cell
magnetic moment = 0.000 μB per atom
SG = F-43m

***

8.
A plane-wave DFT calculation with GGA-PBE was carried out for a geometry-optimized ZrCo2Ag structure.

```
ZrCo2Ag
1.0
3.923 0.000 0.000
0.000 3.923 0.000
1.962 1.962 8.842
Co Zr Ag
4 2 2
direct
0.375 0.301 0.750 Co
0.699 0.125 0.250 Co
0.051 0.625 0.250 Co
0.875 0.949 0.750 Co
0.250 0.750 0.500 Zr
0.500 0.500 0.000 Zr
0.750 0.250 0.500 Ag
0.000 0.000 0.000 Ag
```

density of states at the Fermi level = 5.22 states/eV per cell
magnetic moment = 0.395 μB per atom
SG = I-42d

***

9.
A plane-wave DFT calculation with GGA-PBE was carried out for a geometry-optimized ZrCo2Ag structure.

```
ZrCo2Ag
1.0
8.431 0.008 0.004
7.892 2.967 0.004
7.892 1.438 2.595
Co Ag Zr
2 1 1
direct
0.497 0.497 0.497 Co
0.003 0.003 0.003 Co
0.250 0.250 0.250 Ag
0.750 0.750 0.750 Zr
```

density of states at the Fermi level = 4.40 states/eV per cell
magnetic moment = 0.511 μB per atom
SG = R-3m

***

10.
A plane-wave DFT calculation with GGA-PBE was carried out for a geometry-optimized ZrCo4Ag structure.

```
ZrCo4Ag
1.0
-4.235 -0.252 -2.378
-0.050 -0.279 -4.855
-1.320 -4.140 -2.184
Co Zr Ag
4 1 1
direct
0.625 0.625 0.625 Co
0.625 0.124 0.625 Co
0.625 0.625 0.124 Co
0.124 0.625 0.625 Co
0.250 0.250 0.250 Zr
0.000 0.000 0.000 Ag
```

density of states at the Fermi level = 8.24 states/eV per cell
magnetic moment = 0.815 μB per atom
SG = F-43m

***

11.
A plane-wave DFT calculation with GGA-PBE was carried out for a geometry-optimized ZrCo2Ag structure.

```
ZrCo2Ag
1.0
-2.056 -2.195 3.285
2.052 -3.385 2.041
1.404 0.455 4.202
Co Zr Ag
2 1 1
direct
0.750 0.750 0.750 Co
0.000 0.000 0.000 Co
0.250 0.250 0.250 Zr
0.500 0.500 0.500 Ag
```

density of states at the Fermi level = 6.21 states/eV per cell
magnetic moment = 0.646 μB per atom
SG = F-43m

***

12.
A plane-wave DFT calculation with GGA-PBE was carried out for a geometry-optimized Zr2CoAg structure.

```
Zr2CoAg
1.0
5.723 -0.006 0.012
4.812 3.097 0.012
1.834 0.538 4.175
Zr Ag Co
2 1 1
direct
0.746 0.746 0.754 Zr
0.960 0.960 0.040 Zr
0.535 0.535 0.464 Ag
0.258 0.258 0.242 Co
```

density of states at the Fermi level = 3.12 states/eV per cell
magnetic moment = 0.000 μB per atom
SG = Imm2

***

| no. | formation energy from the elements (eV/atom) | V (Å³/cell) |
| --- | --- | --- |
| 1 | 0.206 | 55 |
| 2 | -0.025 | 74 |
| 3 | 0.011 | 79 |
| 4 | 0.043 | 105 |
| 5 | 0.039 | 290 |
| 6 | -0.152 | 358 |
| 7 | 0.132 | 70 |
| 8 | 0.529 | 136 |
| 9 | 0.360 | 65 |
| 10 | -0.117 | 81 |
| 11 | 0.225 | 62 |
| 12 | -0.013 | 74 |